1.
A relaxed BiHSe2 crystal, computed with PBE-GGA.

Cell: 7.1130 7.1130 7.1130 Å, 35.83 35.83 35.83°
Sites, in units of the cell vectors:
Bi  0.0000  0.0000  0.0000
H  0.5000  0.5000  0.5000
Se  0.4119  0.4119  0.4119
Se  0.5881  0.5881  0.5881

Results
- N(E_F): 0.00 states/eV/f.u.


2.
A relaxed BiHSe2 crystal, computed with PBE-GGA.

Cell: 7.0332 7.0332 7.0332 Å, 35.50 35.50 35.50°
Sites, in units of the cell vectors:
Bi  0.0000  0.0000  0.0000
H  0.5000  0.5000  0.5000
Se  0.1508  0.1508  0.1508
Se  0.8492  0.8492  0.8492

Results
- N(E_F): 1.94 states/eV/f.u.


3.
A relaxed BiHSe2 crystal, computed with PBE-GGA.

Cell: 7.3121 4.3049 8.2083 Å, 90.00 106.19 90.00°
Sites, in units of the cell vectors:
Bi  0.0245  0.2500  0.2106
Bi  0.9755  0.7500  0.7894
H  0.3721  0.2500  0.7784
H  0.6279  0.7500  0.2216
Se  0.1812  0.2500  0.6509
Se  0.2422  0.7500  0.0959
Se  0.7578  0.2500  0.9041
Se  0.8188  0.7500  0.3491


4.
A relaxed BiHSe3 crystal, computed with PBE-GGA.

Cell: 5.6675 5.6675 5.6675 Å, 90.00 90.00 90.00°
Sites, in units of the cell vectors:
Bi  0.0000  0.0000  0.0000
H  0.5000  0.5000  0.5000
Se  0.0000  0.0000  0.5000
Se  0.0000  0.5000  0.0000
Se  0.5000  0.0000  0.0000

Results
- N(E_F): 5.05 states/eV/f.u.


5.
A relaxed BiHSe3 crystal, computed with PBE-GGA.

Cell: 4.5670 4.5670 4.5670 Å, 90.00 90.00 90.00°
Sites, in units of the cell vectors:
Bi  0.0000  0.0000  0.0000
H  0.5000  0.5000  0.5000
Se  0.0000  0.5000  0.5000
Se  0.5000  0.0000  0.5000
Se  0.5000  0.5000  0.0000

Results
- N(E_F): 3.91 states/eV/f.u.


6.
A relaxed BiHSe2 crystal, computed with PBE-GGA.

Cell: 6.9268 6.9268 6.9268 Å, 129.17 129.17 74.73°
Sites, in units of the cell vectors:
Bi  0.0000  0.0000  0.0000
Bi  0.7500  0.2500  0.5000
H  0.2500  0.7500  0.5000
H  0.5000  0.5000  0.0000
Se  0.2166  0.6250  0.0916
Se  0.3750  0.4666  0.5916
Se  0.5334  0.1250  0.9084
Se  0.8750  0.7834  0.4084

Results
- N(E_F): 0.09 states/eV/f.u.


Number 1: energy above the most stable polymorph in this dataset 47 meV/atom. Number 2: energy above the most stable polymorph in this dataset 951 meV/atom. Number 3: energy above the most stable polymorph in this dataset 0 meV/atom. Number 4: energy above the most stable polymorph in this dataset 405 meV/atom. Number 5: energy above the most stable polymorph in this dataset 0 meV/atom. Number 6: energy above the most stable polymorph in this dataset 466 meV/atom.